Record 1
# TaMn2Cr (PBE-GGA, relaxed)
# - Formation enthalpy at 0 K: 30 meV/atom
data_TaMn2Cr
_cell_length_a 3.0385
_cell_length_b 4.1251
_cell_length_c 4.2697
_cell_angle_alpha 90.00
_cell_angle_beta 90.00
_cell_angle_gamma 90.00
_symmetry_space_group_name_H-M 'P m m m'
_symmetry_Int_Tables_number 47
_symmetry_space_group_name_Hall '-P 2 2'
loop_
_atom_site_label
_atom_site_type_symbol
_atom_site_fract_x
_atom_site_fract_y
_atom_site_fract_z
Ta1 Ta 0.0000 0.0000 0.0000
Mn1 Mn 0.0000 0.5000 0.5000
Mn2 Mn 0.5000 0.5000 0.0000
Cr1 Cr 0.5000 0.0000 0.5000

Record 2
# ScCuGe (PBE-GGA, relaxed)
# - Formation enthalpy at 0 K: -569 meV/atom
data_ScCuGe
_cell_length_a 4.1515
_cell_length_b 4.1515
_cell_length_c 6.6833
_cell_angle_alpha 90.00
_cell_angle_beta 90.00
_cell_angle_gamma 120.00
_symmetry_space_group_name_H-M 'P -6 m 2'
_symmetry_Int_Tables_number 187
_symmetry_space_group_name_Hall 'P -6 2'
loop_
_atom_site_label
_atom_site_type_symbol
_atom_site_fract_x
_atom_site_fract_y
_atom_site_fract_z
Sc1 Sc 0.0000 0.0000 0.0000
Sc2 Sc 0.0000 0.0000 0.5000
Cu1 Cu 0.3333 0.6667 0.2041
Ge1 Ge 0.6667 0.3333 0.2723

Record 3
# CrHg2Cl (PBE-GGA, relaxed)
# - Formation energy from raw total energies: 127 meV/atom
# - Energy above the lowest structure with this stoichiometry: 5.149 kcal/mol of atoms
data_CrHg2Cl
_cell_length_a 4.0564
_cell_length_b 4.0564
_cell_length_c 11.8006
_cell_angle_alpha 90.00
_cell_angle_beta 90.00
_cell_angle_gamma 90.00
_symmetry_space_group_name_H-M 'I 4/m m m'
_symmetry_Int_Tables_number 139
_symmetry_space_group_name_Hall '-I 4 2'
loop_
_atom_site_label
_atom_site_type_symbol
_atom_site_fract_x
_atom_site_fract_y
_atom_site_fract_z
Cr1 Cr 0.0000 0.0000 0.0000
Hg1 Hg 0.0000 0.5000 0.2500
Cl1 Cl 0.0000 0.0000 0.5000

Record 4
# La8Dy4Mg (PBE-GGA, relaxed)
# - Formation enthalpy at 0 K: 144 meV/atom
data_La8Dy4Mg
_cell_length_a 7.2271
_cell_length_b 7.2271
_cell_length_c 30.6283
_cell_angle_alpha 90.00
_cell_angle_beta 90.00
_cell_angle_gamma 120.00
_symmetry_space_group_name_H-M 'R -3 m'
_symmetry_Int_Tables_number 166
_symmetry_space_group_name_Hall '-R 3 2"'
loop_
_atom_site_label
_atom_site_type_symbol
_atom_site_fract_x
_atom_site_fract_y
_atom_site_fract_z
La1 La 0.0000 0.0000 0.2148
La2 La 0.0164 0.5082 0.7592
Dy1 Dy 0.0000 0.0000 0.0000
Dy2 Dy 0.0000 0.5000 0.0000
Mg1 Mg 0.0000 0.0000 0.5000